# Tb4Dy4Sc

A relaxed Tb4Dy4Sc crystal (PBE, the Alexandria database).

Summary:
E_tot (eV per atom): -4.778
Size of the total moment (μB per cell): 0.00
DFT formation energy (eV per atom): 0.03

Cell: 10.5684 10.5684 4.9666 Å, 90.00 90.00 90.00°
Last column: nearest neighbours and their distance in Å.
Space group I4/mmm (No. 139)
Inequivalent atoms, fractional coordinates:
Tb 0.1646 0.1646 0.0000 x8  4 Tb 3.48-3.56, 2 Sc 3.50, 6 Dy 3.51-3.55
Dy 0.0000 0.3313 0.5000 x8  1 Sc 3.50, 6 Tb 3.51-3.55, 5 Dy 3.54-3.57
Sc 0.0000 0.0000 0.5000 x2  8 Tb 3.50, 4 Dy 3.50

# InHgPb2

A relaxed InHgPb2 crystal (PBE, the Alexandria database).

Summary:
E_tot (eV per atom): -2.580
Size of the total moment (μB per cell): 0.00
DFT formation energy (eV per atom): 0.03

Cell: 7.7447 7.7447 7.7447 Å, 90.00 90.00 90.00°
Last column: nearest neighbours and their distance in Å.
Space group Fm-3m (No. 225)
Inequivalent atoms, fractional coordinates:
In 0.0000 0.0000 0.0000 x4  8 Pb 3.35
Hg 0.0000 0.0000 0.5000 x4  8 Pb 3.35
Pb 0.2500 0.2500 0.2500 x8  4 Hg 3.35, 4 In 3.35